A plane-wave DFT calculation with GGA-PBE was carried out for Li2Sb3Se6 after structural relaxation.

## Properties
Uncorrected formation energy: -538 kJ/mol of formula units
Size of the total moment: 0.00 μB/atom
Space group: No. 12
V: 275.6 Å³/cell

a b c (Å): 6.9582 6.9428 7.0038
angles (deg): 80.24 70.23 59.93
Atoms (fractional coordinates):
Sb: 0.3324 0.3352 0.0000
Sb: 0.6676 0.6648 0.0000
Sb: 0.0000 0.0000 0.0000
Se: 0.9219 0.6581 0.2540
Se: 0.2346 0.0000 0.2641
Se: 0.5800 0.3419 0.2540
Se: 0.7654 0.0000 0.7359
Se: 0.4200 0.6581 0.7460
Se: 0.0781 0.3419 0.7460
Li: 0.8357 0.3286 0.5000
Li: 0.1643 0.6714 0.5000

---

A plane-wave DFT calculation with GGA-PBE was carried out for LiSb2Se3 after structural relaxation.

## Properties
Uncorrected formation energy: -232 kJ/mol of formula units
Size of the total moment: 0.00 μB/atom
Energy above the most stable polymorph in this dataset: 23.3 meV per atom
Space group: No. 36
V: 359.6 Å³/cell

a b c (Å): 6.0335 7.7883 7.7883
angles (deg): 100.72 90.00 90.00
Atoms (fractional coordinates):
Sb: 0.4890 0.5224 0.8273
Sb: 0.4890 0.8273 0.5224
Sb: 0.9890 0.1727 0.4776
Sb: 0.9890 0.4776 0.1727
Se: 0.9864 0.8436 0.5067
Se: 0.4864 0.1564 0.4933
Se: 0.4774 0.8721 0.8721
Se: 0.9774 0.1279 0.1279
Se: 0.9864 0.5067 0.8436
Se: 0.4864 0.4933 0.1564
Li: 0.0297 0.8468 0.8468
Li: 0.5297 0.1532 0.1532

---

A plane-wave DFT calculation with GGA-PBE was carried out for LiSbSe after structural relaxation.

## Properties
Uncorrected formation energy: -169 kJ/mol of formula units
Size of the total moment: 0.00 μB/atom
Space group: No. 2
V: 157.8 Å³/cell

a b c (Å): 4.2517 4.4646 9.3650
angles (deg): 78.71 88.74 65.16
Atoms (fractional coordinates):
Sb: 0.6588 0.7020 0.4146
Sb: 0.3412 0.2980 0.5854
Li: 0.2615 0.2043 0.1084
Li: 0.7385 0.7957 0.8916
Se: 0.3855 0.4580 0.8438
Se: 0.6145 0.5420 0.1562

---

A plane-wave DFT calculation with GGA-PBE was carried out for Li3SbSe after structural relaxation.

## Properties
Uncorrected formation energy: -56 kJ/mol of formula units
Size of the total moment: 0.00 μB/atom
Energy above the most stable polymorph in this dataset: 428.7 meV per atom
Space group: No. 221
V: 132.1 Å³/cell

a b c (Å): 5.0933 5.0933 5.0933
angles (deg): 90.00 90.00 90.00
Atoms (fractional coordinates):
Li: 0.0000 0.0000 0.5000
Li: 0.5000 0.0000 0.0000
Li: 0.0000 0.5000 0.0000
Se: 0.5000 0.5000 0.5000
Sb: 0.0000 0.0000 0.0000

---

A plane-wave DFT calculation with GGA-PBE was carried out for Li2SbSe after structural relaxation.

## Properties
Uncorrected formation energy: -241 kJ/mol of formula units
Size of the total moment: 0.00 μB/atom
Energy above the most stable polymorph in this dataset: 0.0 meV per atom
Space group: No. 8
V: 83.1 Å³/cell

a b c (Å): 6.0623 6.0623 3.8100
angles (deg): 90.07 90.07 36.43
Atoms (fractional coordinates):
Sb: 0.4500 0.4500 0.3745
Li: 0.7750 0.7750 0.8757
Li: 0.0580 0.0580 0.8746
Se: 0.2171 0.2171 0.3751

---

A plane-wave DFT calculation with GGA-PBE was carried out for Li3Sb2Se4 after structural relaxation.

## Properties
Uncorrected formation energy: -576 kJ/mol of formula units
Size of the total moment: 0.00 μB/atom
Space group: No. 12
V: 215.5 Å³/cell

a b c (Å): 4.0883 7.5144 7.5779
angles (deg): 83.55 74.35 74.21
Atoms (fractional coordinates):
Sb: 0.1546 0.9380 0.7528
Sb: 0.8454 0.0620 0.2472
Se: 0.7729 0.6504 0.8039
Se: 0.5969 0.1826 0.6236
Se: 0.4031 0.8174 0.3764
Se: 0.2271 0.3496 0.1961
Li: 0.3522 0.4357 0.8600
Li: 0.0000 0.5000 0.5000
Li: 0.6478 0.5643 0.1400

---

A plane-wave DFT calculation with GGA-PBE was carried out for Li2Sb2Se5 after structural relaxation.

## Properties
Uncorrected formation energy: -423 kJ/mol of formula units
Size of the total moment: 0.00 μB/atom
Space group: No. 46
V: 499.9 Å³/cell

a b c (Å): 6.3758 8.1666 10.9091
angles (deg): 111.98 106.99 90.00
Atoms (fractional coordinates):
Li: 0.7720 0.7750 0.5000
Li: 0.2280 0.2750 0.5000
Li: 0.0000 0.9875 0.0000
Li: 0.5000 0.4875 0.0000
Sb: 0.3708 0.8775 0.7209
Sb: 0.1498 0.6566 0.2791
Sb: 0.6292 0.1566 0.2791
Sb: 0.8502 0.3775 0.7209
Se: 0.8853 0.0918 0.5000
Se: 0.6844 0.8482 0.0790
Se: 0.1147 0.5918 0.5000
Se: 0.8947 0.3482 0.0790
Se: 0.5193 0.5493 0.2685
Se: 0.4807 0.2808 0.7315
Se: 0.7508 0.7808 0.7315
Se: 0.1053 0.2692 0.9210
Se: 0.2492 0.0493 0.2685
Se: 0.3156 0.7692 0.9210

---

A plane-wave DFT calculation with GGA-PBE was carried out for LiSbSe after structural relaxation.

## Properties
Uncorrected formation energy: -143 kJ/mol of formula units
Size of the total moment: 0.00 μB/atom
Space group: No. 107
V: 76.5 Å³/cell

a b c (Å): 6.3931 6.3931 6.3931
angles (deg): 147.18 147.18 47.09
Atoms (fractional coordinates):
Li: 0.0532 0.0532 0.0000
Se: 0.5818 0.5818 0.0000
Sb: 0.3651 0.3651 0.0000